1.
The following is a PBE calculation of an optimized crystal structure of NaMgPd, from Alexandria via LeMat-Bulk.

Calculated values
As for the formation energy from the elements: -0.28 eV/atom. Its energy above the most stable polymorph in this dataset is 50.2 meV/atom. The volume is 64.16 Å³/f.u. The symmetry is I4mm, No. 107.

Unit cell a=3.2022 b=3.2022 c=6.6541 alpha=103.92 beta=103.92 gamma=90.00
Fractional positions:
Mg (0.3220, 0.3220, 0.6439)
Na (0.5957, 0.5957, 0.1914)
Pd (0.9323, 0.9323, 0.8646)

***

2.
The following is a PBE calculation of an optimized crystal structure of NaMg2Pd2, from Alexandria via LeMat-Bulk.

Calculated values
As for the formation energy from the elements: -0.32 eV/atom. Its energy above the most stable polymorph in this dataset is 175.6 meV/atom. The volume is 106.40 Å³/f.u. The symmetry is I4/mmm, No. 139.

Unit cell a=4.3083 b=4.3083 c=6.4918 alpha=70.62 beta=70.62 gamma=90.00
Fractional positions:
Mg (0.2500, 0.7500, 0.5000)
Na (0.0000, 0.0000, 0.0000)
Pd (0.3850, 0.3850, 0.2301)
Pd (0.6150, 0.6150, 0.7699)
Mg (0.7500, 0.2500, 0.5000)

***

3.
The following is a PBE calculation of an optimized crystal structure of Na2MgPd, from Alexandria via LeMat-Bulk.

Calculated values
As for the formation energy from the elements: 0.06 eV/atom. Its energy above the most stable polymorph in this dataset is 14.9 meV/atom. The volume is 101.12 Å³/f.u. The symmetry is I-42d, No. 122.

Unit cell a=8.6492 b=8.6492 c=6.6867 alpha=49.70 beta=49.70 gamma=90.00
Fractional positions:
Mg (0.5000, 0.5000, 0.0000)
Na (0.3750, 0.3159, 0.7500)
Na (0.0659, 0.6250, 0.2500)
Na (0.6841, 0.1250, 0.2500)
Pd (0.0000, 0.0000, 0.0000)
Na (0.8750, 0.9341, 0.7500)
Pd (0.7500, 0.2500, 0.5000)
Mg (0.2500, 0.7500, 0.5000)

***

4.
The following is a PBE calculation of an optimized crystal structure of Na3MgPd, from Alexandria via LeMat-Bulk.

Calculated values
As for the formation energy from the elements: 0.67 eV/atom. Its energy above the most stable polymorph in this dataset is 468.1 meV/atom. The volume is 175.74 Å³/f.u. The symmetry is Pm-3m, No. 221.

Unit cell a=5.6013 b=5.6013 c=5.6013 alpha=90.00 beta=90.00 gamma=90.00
Fractional positions:
Na (0.0000, 0.5000, 0.0000)
Mg (0.0000, 0.0000, 0.0000)
Na (0.0000, 0.0000, 0.5000)
Pd (0.5000, 0.5000, 0.5000)
Na (0.5000, 0.0000, 0.0000)

***

5.
The following is a PBE calculation of an optimized crystal structure of NaMg3Pd, from Alexandria via LeMat-Bulk.

Calculated values
As for the formation energy from the elements: 0.84 eV/atom. Its energy above the most stable polymorph in this dataset is 1029.4 meV/atom. The volume is 128.11 Å³/f.u. The symmetry is Pm-3m, No. 221.

Unit cell a=5.0412 b=5.0412 c=5.0412 alpha=90.00 beta=90.00 gamma=90.00
Fractional positions:
Na (0.0000, 0.0000, 0.0000)
Mg (0.0000, 0.5000, 0.0000)
Mg (0.0000, 0.0000, 0.5000)
Mg (0.5000, 0.0000, 0.0000)
Pd (0.5000, 0.5000, 0.5000)

***

6.
The following is a PBE calculation of an optimized crystal structure of NaMgPd, from Alexandria via LeMat-Bulk.

Calculated values
As for the formation energy from the elements: -0.33 eV/atom. Its energy above the most stable polymorph in this dataset is 0.0 meV/atom. The volume is 65.21 Å³/f.u. The symmetry is C2/m, No. 12.

Unit cell a=3.4244 b=3.4244 c=11.1228 alpha=90.07 beta=90.07 gamma=90.00
Fractional positions:
Na (0.7481, 0.7481, 0.6350)
Mg (0.2505, 0.2505, 0.0836)
Pd (0.7511, 0.7511, 0.1845)
Na (0.2519, 0.2519, 0.3650)
Pd (0.2489, 0.2489, 0.8155)
Mg (0.7495, 0.7495, 0.9164)

***

7.
The following is a PBE calculation of an optimized crystal structure of NaMg3Pd, from Alexandria via LeMat-Bulk.

Calculated values
As for the formation energy from the elements: -0.19 eV/atom. Its energy above the most stable polymorph in this dataset is 0.0 meV/atom. The volume is 131.72 Å³/f.u. The symmetry is Pm-3m, No. 221.

Unit cell a=5.0880 b=5.0880 c=5.0880 alpha=90.00 beta=90.00 gamma=90.00
Fractional positions:
Mg (0.5000, 0.0000, 0.0000)
Mg (0.0000, 0.0000, 0.5000)
Pd (0.0000, 0.0000, 0.0000)
Mg (0.0000, 0.5000, 0.0000)
Na (0.5000, 0.5000, 0.5000)

***

8.
The following is a PBE calculation of an optimized crystal structure of NaMgPdPt, from Alexandria via LeMat-Bulk.

Calculated values
As for the formation energy from the elements: -0.37 eV/atom. The volume is 66.74 Å³/f.u. The symmetry is F-43m, No. 216.

Unit cell a=4.5530 b=4.5530 c=4.5530 alpha=60.00 beta=60.00 gamma=60.00
Fractional positions:
Mg (0.0000, 0.0000, 0.0000)
Pt (0.7500, 0.7500, 0.7500)
Na (0.5000, 0.5000, 0.5000)
Pd (0.2500, 0.2500, 0.2500)

***

Which of these has the lowest formation energy from the elements?
NaMgPdPt

***

What is the formula in the third record?
Na2MgPd

***

Number 5 is which compound?
NaMg3Pd